# Mn2PbBr

A geometry-optimized Mn2PbBr structure (PBE-GGA, the Alexandria database).

Geometry as POSCAR:
```
Mn2PbBr
1.0
8.2387 -0.1818 -0.1078
7.5295 3.3490 -0.1078
7.5295 1.5124 2.9900
Br Mn Pb
1 2 1
direct
0.7500 0.7500 0.7500 Br
0.4982 0.4982 0.4982 Mn
0.0018 0.0018 0.0018 Mn
0.2500 0.2500 0.2500 Pb
```

The calculation puts the volume at 22.4 Å³ per atom. Its density of states at the Fermi level is 2.80 states/eV/f.u. The value obtained for the energy above the most stable polymorph in this dataset is 0.183 eV/atom. Its symmetry is R-3m, No. 166. Its crystal system is trigonal.